Computed, not measured: crystalline Ti2CdSnTe at its relaxed geometry at the PBE-GGA level of DFT.

Crystal system: tetragonal
ΔE_f (raw) in eV per atom: 1.03
DOS(E_F) in states/eV per cell: 8.44

```
5
Lattice="5.174 0.000 0.000 0.000 5.174 0.000 0.000 0.000 5.407" Properties=species:S:1:pos:R:3 pbc="T T T"
Ti 0.000 2.587 0.000
Ti 2.587 0.000 0.000
Cd 0.000 0.000 0.000
Sn 2.587 2.587 2.704
Te 0.000 0.000 2.704
```

---

Computed, not measured: crystalline TiCdSnTe2 at its relaxed geometry at the PBE-GGA level of DFT.

Crystal system: tetragonal
ΔE_f (raw) in eV per atom: 0.74
DOS(E_F) in states/eV per cell: 9.27

```
5
Lattice="5.762 0.000 0.000 0.000 5.762 0.000 0.000 0.000 5.281" Properties=species:S:1:pos:R:3 pbc="T T T"
Ti 0.000 0.000 0.000
Cd 2.881 2.881 0.000
Sn 0.000 0.000 2.641
Te 0.000 2.881 2.641
Te 2.881 0.000 2.641
```

---

Q: Look up the ΔE_f (raw) of the first one.
A: 1.03 eV per atom

---

Q: Number 2 is which compound?
A: TiCdSnTe2

---

What did the first record say?
Computed, not measured: crystalline Ti2CdSnTe at its relaxed geometry at the PBE-GGA level of DFT.

Crystal system: tetragonal
ΔE_f (raw) in eV per atom: 1.03
DOS(E_F) in states/eV per cell: 8.44

```
5
Lattice="5.174 0.000 0.000 0.000 5.174 0.000 0.000 0.000 5.407" Properties=species:S:1:pos:R:3 pbc="T T T"
Ti 0.000 2.587 0.000
Ti 2.587 0.000 0.000
Cd 0.000 0.000 0.000
Sn 2.587 2.587 2.704
Te 0.000 0.000 2.704
```